Compound: CoOF
Source: the Alexandria database
Functional: PBE with a Hubbard U
Structure: optimized geometry

Computed properties:
As for the polymorph energy (0 for the lowest one): 46 meV/atom. Its volume is 10.2 Å³/atom. The value obtained for the density of states at the Fermi level is 3.15 states/eV per cell.

Cell and atoms, written as CIF:
```
data_CoOF
_cell_length_a 4.5060
_cell_length_b 4.4725
_cell_length_c 9.1437
_cell_angle_alpha 90.00
_cell_angle_beta 90.08
_cell_angle_gamma 90.00
_symmetry_space_group_name_H-M 'P 1 21 1'
_symmetry_Int_Tables_number 4
_symmetry_space_group_name_Hall 'P 2yb'
loop_
_atom_site_label
_atom_site_type_symbol
_atom_site_fract_x
_atom_site_fract_y
_atom_site_fract_z
Co1 Co 0.2181 0.0000 0.2498
Co2 Co 0.2200 0.0014 0.5836
Co3 Co 0.2793 0.9457 0.9166
O1 O 0.0484 0.8086 0.4166
O2 O 0.0757 0.7896 0.7498
O3 O 0.4297 0.1529 0.0835
F1 F 0.0300 0.7496 0.0843
F2 F 0.4453 0.2096 0.4217
F3 F 0.4703 0.1920 0.7444
```